Material: La2ScTlS
Method: DFT, PBE
State: relaxed

VASP energy	-5.410	eV/atom
theoretical density	6.221	g/cm3
density of states at the Fermi level	0.83	states/eV/atom
E_form (uncorrected)	-0.87	eV per atom

Cell: 5.543 5.543 4.859 Å, 90.00 90.00 90.00°
Positions (direct):
Tl 0.500 0.500 0.500
La 0.500 0.000 0.000
La 0.000 0.500 0.000
Sc 0.000 0.000 0.500
S 0.000 0.000 0.000

---

Material: La3ScTl3S8
Method: DFT, PBE
State: relaxed

VASP energy	-5.557	eV/atom
theoretical density	5.029	g/cm3
density of states at the Fermi level	0.47	states/eV/atom
E_form (uncorrected)	-1.47	eV per atom

Cell: 8.358 8.358 8.724 Å, 118.64 90.00 120.00°
Positions (direct):
La 0.500 0.500 0.500
La 0.000 0.500 0.500
La 0.500 0.000 0.500
Tl 0.000 0.500 0.000
Tl 0.000 0.000 0.000
Tl 0.500 0.500 0.000
S 0.219 0.979 0.698
S 0.240 0.021 0.302
S 0.781 0.021 0.302
S 0.760 0.979 0.698
S 0.781 0.562 0.302
S 0.219 0.438 0.698
S 0.263 0.525 0.288
S 0.737 0.475 0.712
Sc 0.000 0.000 0.500

---

Material: La2TmScS4
Method: DFT, PBE
State: relaxed

VASP energy	-6.669	eV/atom
theoretical density	5.853	g/cm3
density of states at the Fermi level	0.54	states/eV/atom
E_form (uncorrected)	-2.02	eV per atom

Cell: 3.886 6.762 7.058 Å, 108.50 90.00 90.00°
Positions (direct):
S 0.500 0.234 0.217
S 0.000 0.745 0.220
S 0.500 0.766 0.783
S 0.000 0.255 0.780
La 0.500 0.000 0.500
La 0.000 0.500 0.500
Sc 0.000 0.000 0.000
Tm 0.500 0.500 0.000

---

Material: LaTm2ScS4
Method: DFT, PBE
State: relaxed

VASP energy	-6.497	eV/atom
theoretical density	6.432	g/cm3
density of states at the Fermi level	0.54	states/eV/atom
E_form (uncorrected)	-1.91	eV per atom

Cell: 5.533 5.533 6.734 Å, 114.26 114.26 90.00°
Positions (direct):
La 0.937 0.937 0.000
S 0.937 0.437 0.000
S 0.674 0.674 0.474
S 0.200 0.200 0.526
S 0.437 0.937 0.000
Tm 0.187 0.687 0.500
Tm 0.687 0.187 0.500
Sc 0.437 0.437 0.000

---

Material: LaTmSc2S4
Method: DFT, PBE
State: relaxed

VASP energy	-6.680	eV/atom
theoretical density	5.287	g/cm3
density of states at the Fermi level	0.56	states/eV/atom
E_form (uncorrected)	-1.86	eV per atom

Cell: 5.493 5.493 6.713 Å, 114.16 114.16 90.00°
Positions (direct):
Sc 0.687 0.187 0.500
Sc 0.187 0.687 0.500
La 0.937 0.937 0.000
S 0.937 0.437 0.000
S 0.196 0.196 0.517
S 0.678 0.678 0.483
S 0.437 0.937 0.000
Tm 0.437 0.437 0.000

---

Material: La2ScVS6
Method: DFT, PBE
State: relaxed

VASP energy	-6.804	eV/atom
theoretical density	4.327	g/cm3
density of states at the Fermi level	0.63	states/eV/atom
E_form (uncorrected)	-1.80	eV per atom

Cell: 6.466 7.107 9.455 Å, 90.00 90.70 90.00°
Site moments in Bohr magnetons follow the coordinates.
Positions (direct):
S 0.606 0.022 0.257  -0.03
S 0.188 0.186 0.448  -0.02
S 0.812 0.814 0.552  -0.02
S 0.688 0.314 0.948  -0.02
S 0.676 0.303 0.553  -0.02
S 0.106 0.478 0.757  -0.03
S 0.312 0.686 0.052  -0.02
S 0.894 0.522 0.243  -0.03
S 0.324 0.697 0.447  -0.02
S 0.176 0.197 0.053  -0.02
S 0.824 0.803 0.947  -0.02
S 0.394 0.978 0.743  -0.03
V 0.500 0.000 0.500  1.77
V 0.000 0.500 0.000  1.77
Sc 0.500 0.000 0.000  0.04
Sc 0.000 0.500 0.500  0.04
La 0.535 0.595 0.749  0.02
La 0.035 0.905 0.249  0.02
La 0.965 0.095 0.751  0.02
La 0.465 0.405 0.251  0.02

---

Material: LaScV2S
Method: DFT, PBE
State: relaxed

VASP energy	-6.825	eV/atom
theoretical density	5.167	g/cm3
density of states at the Fermi level	1.07	states/eV/atom
E_form (uncorrected)	-0.10	eV per atom

Cell: 4.556 4.921 4.556 Å, 90.00 90.00 90.00°
Site moments in Bohr magnetons follow the coordinates.
Positions (direct):
S 0.000 0.000 0.000  -0.05
La 0.500 0.500 0.500  -0.01
V 0.000 0.000 0.500  1.24
V 0.500 0.000 0.000  1.16
Sc 0.000 0.500 0.000  -0.12

---

Material: La2ScWS
Method: DFT, PBE
State: relaxed

VASP energy	-6.794	eV/atom
theoretical density	6.473	g/cm3
density of states at the Fermi level	1.13	states/eV/atom
E_form (uncorrected)	-0.14	eV per atom

Cell: 5.554 4.479 5.554 Å, 90.00 90.00 90.00°
Positions (direct):
S 0.000 0.000 0.000
W 0.000 0.500 0.000
Sc 0.500 0.500 0.500
La 0.000 0.000 0.500
La 0.500 0.000 0.000

---

Material: La2YScS4
Method: DFT, PBE
State: relaxed

VASP energy	-6.926	eV/atom
theoretical density	5.019	g/cm3
density of states at the Fermi level	0.60	states/eV/atom
E_form (uncorrected)	-2.03	eV per atom

Cell: 3.921 6.830 7.042 Å, 108.70 90.00 90.00°
Positions (direct):
La 0.500 0.000 0.500
La 0.000 0.500 0.500
Sc 0.000 0.000 0.000
S 0.000 0.750 0.225
S 0.500 0.232 0.220
S 0.000 0.250 0.775
S 0.500 0.768 0.780
Y 0.500 0.500 0.000

---

Material: LaYSc2S
Method: DFT, PBE
State: relaxed

VASP energy	-6.290	eV/atom
theoretical density	4.184	g/cm3
density of states at the Fermi level	1.69	states/eV/atom
E_form (uncorrected)	-0.65	eV per atom

Cell: 4.964 4.964 5.633 Å, 90.00 90.00 90.00°
Positions (direct):
Sc 0.000 0.500 0.000
Sc 0.500 0.000 0.000
Y 0.500 0.500 0.500
La 0.000 0.000 0.500
S 0.000 0.000 0.000

---

Material: LaSeS
Method: DFT, PBE
State: relaxed

VASP energy	-6.020	eV/atom
theoretical density	5.644	g/cm3
density of states at the Fermi level	0.10	states/eV/atom
E_form (uncorrected)	-1.84	eV per atom

Cell: 4.170 8.372 8.426 Å, 89.82 90.00 90.00°
Positions (direct):
Se 0.813 0.619 0.998
Se 0.687 0.119 0.998
Se 0.313 0.881 0.002
Se 0.187 0.381 0.002
La 0.722 0.373 0.287
La 0.222 0.127 0.713
La 0.778 0.873 0.287
La 0.278 0.627 0.713
S 0.741 0.374 0.634
S 0.759 0.874 0.634
S 0.241 0.126 0.366
S 0.259 0.626 0.366

---

Material: La4Se7S
Method: DFT, PBE
State: relaxed

VASP energy	-5.800	eV/atom
theoretical density	6.096	g/cm3
density of states at the Fermi level	0.09	states/eV/atom
E_form (uncorrected)	-1.78	eV per atom

Cell: 4.249 8.515 8.587 Å, 89.77 89.99 89.94°
Positions (direct):
S 0.260 0.626 0.365
Se 0.323 0.880 0.002
Se 0.817 0.619 0.996
Se 0.757 0.874 0.635
Se 0.685 0.117 0.000
Se 0.742 0.375 0.635
Se 0.179 0.383 0.002
Se 0.242 0.126 0.366
La 0.783 0.867 0.279
La 0.271 0.626 0.715
La 0.225 0.127 0.725
La 0.717 0.379 0.278

---

Material: La5Se5S
Method: DFT, PBE
State: relaxed

VASP energy	-6.230	eV/atom
theoretical density	5.603	g/cm3
density of states at the Fermi level	0.35	states/eV/atom
E_form (uncorrected)	-2.03	eV per atom

Cell: 6.036 7.440 8.532 Å, 106.73 90.00 113.93°
Positions (direct):
La 0.157 0.315 0.830
La 0.843 0.685 0.170
La 0.162 0.323 0.330
La 0.838 0.677 0.670
La 0.500 0.000 0.000
Se 0.331 0.662 0.164
Se 0.669 0.338 0.836
Se 0.000 0.000 0.500
Se 0.671 0.341 0.332
Se 0.329 0.659 0.668
S 0.000 0.000 0.000

---

Material: La4SeS3
Method: DFT, PBE
State: relaxed

VASP energy	-6.552	eV/atom
theoretical density	5.788	g/cm3
density of states at the Fermi level	0.75	states/eV/atom
E_form (uncorrected)	-2.10	eV per atom

Cell: 5.941 5.941 5.941 Å, 90.00 90.00 90.00°
Positions (direct):
S 0.500 0.500 0.000
S 0.500 0.000 0.500
S 0.000 0.500 0.500
Se 0.000 0.000 0.000
La 0.000 0.000 0.500
La 0.000 0.500 0.000
La 0.500 0.500 0.500
La 0.500 0.000 0.000

---

Material: La2SeS
Method: DFT, PBE
State: relaxed

VASP energy	-5.924	eV/atom
theoretical density	4.407	g/cm3
density of states at the Fermi level	1.19	states/eV/atom
E_form (uncorrected)	-1.56	eV per atom

Cell: 6.656 6.656 8.118 Å, 65.80 65.80 90.00°
Positions (direct):
La 0.609 0.125 0.250
La 0.375 0.391 0.750
La 0.875 0.859 0.750
La 0.141 0.625 0.250
Se 0.000 0.000 0.000
Se 0.750 0.250 0.500
S 0.250 0.750 0.500
S 0.500 0.500 0.000

---

Material: La3Se5S12
Method: DFT, PBE
State: relaxed

VASP energy	-4.550	eV/atom
theoretical density	3.923	g/cm3
density of states at the Fermi level	0.40	states/eV/atom
E_form (uncorrected)	-0.46	eV per atom

Cell: 13.805 13.805 13.805 Å, 109.47 109.47 109.47°
Positions (direct):
S 0.832 0.922 0.293
S 0.332 0.793 0.422
S 0.422 0.129 0.591
S 0.207 0.538 0.629
S 0.207 0.668 0.078
S 0.168 0.078 0.707
S 0.332 0.538 0.409
S 0.871 0.293 0.462
S 0.591 0.629 0.422
S 0.129 0.422 0.091
S 0.962 0.591 0.168
S 0.629 0.591 0.922
S 0.409 0.038 0.332
S 0.578 0.871 0.409
S 0.129 0.707 0.538
S 0.038 0.409 0.832
S 0.371 0.962 0.793
S 0.078 0.168 0.207
S 0.909 0.078 0.871
S 0.078 0.909 0.371
S 0.832 0.909 0.038
S 0.462 0.668 0.091
S 0.922 0.832 0.793
S 0.793 0.332 0.922
S 0.038 0.629 0.707
S 0.293 0.871 0.962
S 0.707 0.129 0.038
S 0.668 0.207 0.578
S 0.922 0.091 0.629
S 0.409 0.371 0.578
S 0.871 0.578 0.909
S 0.538 0.332 0.909
S 0.793 0.462 0.371
S 0.422 0.293 0.332
S 0.962 0.371 0.293
S 0.707 0.578 0.168
S 0.091 0.168 0.462
S 0.591 0.962 0.668
S 0.909 0.832 0.538
S 0.538 0.207 0.129
S 0.168 0.091 0.962
S 0.668 0.462 0.591
S 0.293 0.422 0.832
S 0.462 0.793 0.871
S 0.091 0.922 0.129
S 0.371 0.409 0.078
S 0.629 0.038 0.207
S 0.578 0.707 0.668
Se 0.500 0.000 0.500
Se 0.875 0.625 0.750
Se 0.000 0.500 0.500
Se 0.000 0.000 0.000
Se 0.125 0.750 0.375
Se 0.500 0.500 0.500
Se 0.625 0.875 0.250
Se 0.500 0.500 0.000
Se 0.875 0.250 0.625
Se 0.250 0.875 0.125
Se 0.750 0.625 0.375
Se 0.375 0.125 0.750
Se 0.375 0.250 0.125
Se 0.625 0.750 0.875
Se 0.750 0.125 0.875
Se 0.000 0.000 0.500
Se 0.125 0.375 0.250
Se 0.250 0.375 0.625
Se 0.500 0.000 0.000
Se 0.000 0.500 0.000
La 0.375 0.625 0.250
La 0.625 0.375 0.750
La 0.375 0.750 0.625
La 0.125 0.875 0.750
La 0.250 0.625 0.875
La 0.875 0.125 0.250
La 0.750 0.875 0.625
La 0.625 0.250 0.375
La 0.250 0.125 0.375
La 0.750 0.375 0.125
La 0.125 0.250 0.875
La 0.875 0.750 0.125

---

Material: La2SeS2
Method: DFT, PBE
State: relaxed

VASP energy	-6.434	eV/atom
theoretical density	4.179	g/cm3
density of states at the Fermi level	0.00	states/eV/atom
E_form (uncorrected)	-2.12	eV per atom

Cell: 4.342 5.539 7.794 Å, 110.81 106.17 90.00°
Positions (direct):
La 0.656 0.156 0.311
La 0.344 0.844 0.689
S 0.710 0.710 0.420
S 0.290 0.290 0.580
Se 0.000 0.000 0.000

---

Material: La2SeS
Method: DFT, PBE
State: relaxed

VASP energy	-6.397	eV/atom
theoretical density	5.931	g/cm3
density of states at the Fermi level	0.21	states/eV/atom
E_form (uncorrected)	-2.03	eV per atom

Cell: 4.150 4.150 7.682 Å, 74.33 74.33 60.00°
Positions (direct):
La 0.075 0.075 0.776
La 0.258 0.258 0.225
S 0.668 0.668 0.996
Se 0.499 0.499 0.503

---

Material: La6SeS5
Method: DFT, PBE
State: relaxed

VASP energy	-6.615	eV/atom
theoretical density	5.734	g/cm3
density of states at the Fermi level	0.53	states/eV/atom
E_form (uncorrected)	-2.14	eV per atom

Cell: 7.249 7.249 7.250 Å, 99.62 99.62 120.07°
Positions (direct):
S 0.836 0.164 0.500
S 0.333 0.667 0.000
S 0.500 0.500 0.500
S 0.667 0.333 0.000
S 0.164 0.836 0.500
La 0.426 0.085 0.256
La 0.574 0.915 0.744
La 0.085 0.426 0.256
La 0.915 0.574 0.744
La 0.745 0.745 0.255
La 0.255 0.255 0.745
Se 0.000 0.000 0.000

---

Material: La2SeS
Method: DFT, PBE
State: relaxed

VASP energy	-6.443	eV/atom
theoretical density	5.995	g/cm3
density of states at the Fermi level	0.69	states/eV/atom
E_form (uncorrected)	-2.08	eV per atom

Cell: 4.213 6.001 8.519 Å, 90.00 90.00 90.00°
Positions (direct):
S 0.500 0.000 0.624
S 0.000 0.500 0.376
La 0.500 0.500 0.137
La 0.500 0.500 0.615
La 0.000 0.000 0.863
La 0.000 0.000 0.385
Se 0.000 0.500 0.876
Se 0.500 0.000 0.124